TbAlAg4: relaxed, PBE-GGA.

```
6
Lattice="5.5414 0.0000 0.0000 2.7707 4.7990 0.0000 2.7707 1.5997 4.5245" Properties=species:S:1:pos:R:3 pbc="T T T"
Tb 2.7707 1.5997 1.1311
Ag 5.5414 1.5962 2.8291
Ag 6.9298 4.0009 2.8291
Al 0.0000 0.0000 0.0000
Ag 4.1530 4.0009 2.8291
Ag 5.5414 3.1993 0.5619
```

## Properties
calculated volume	20.05	Å³ per atom
DFT formation energy	-0.1446	eV per atom
ΔE to the lowest computed polymorph	0.000	eV/atom